# 1
Below is an optimized crystal structure of Cu6PtRh2, with properties calculated at the PBE level.

The structure belongs to space group C2/c (No. 15); the cell edges are 9.661, 8.793 and 6.782 Å and the angles 90.00°, 124.50° and 90.00°. The inequivalent atoms are Cu at (0.051, 0.127, 0.463), Cu at (0.119, 0.367, 0.206), Cu at (0.217, 0.374, 0.630), Pt at (0.000, 0.383, 0.750) and Rh at (0.164, 0.124, 0.914).

The crystal system is monoclinic. Its total energy is -4.998 eV per atom.

***

# 2
Below is an optimized crystal structure of Sm2YSc3, with properties calculated at the PBE level.

The structure belongs to space group C2/c (No. 15); the cell edges are 9.792, 11.053 and 6.995 Å and the angles 90.00°, 112.96° and 90.00°. The inequivalent atoms are Sm at (0.174, 0.233, 0.236), Y at (0.000, 0.500, 0.000), Sc at (0.000, 0.210, 0.750) and Sc at (0.164, 0.017, 0.527).

The distance to the lowest polymorph of the same formula comes out at 0.00 eV per formula unit. The crystal system is monoclinic. Its total energy is -5.613 eV per atom.

***

# 3
Below is an optimized crystal structure of Ba2LiCl, with properties calculated at the PBE level.

The structure belongs to space group P4mm (No. 99); the cell edges are 4.152, 4.152 and 11.379 Å and the angles 90.00°, 90.00° and 90.00°. The inequivalent atoms are Ba at (0.000, 0.000, 0.000), Ba at (0.500, 0.500, 0.338), Li at (0.500, 0.500, 0.770) and Cl at (0.000, 0.000, 0.437).

The distance to the lowest polymorph of the same formula comes out at 0.51 eV per formula unit. The crystal system is tetragonal. Its total energy is -2.613 eV per atom. Its uncorrected formation energy is -2.85 eV/f.u.